1.
The following is a DFT calculation (GGA-PBE) of an optimized crystal structure of Co2RePb. Values from VASP.

The structure in Quantum ESPRESSO input format:
```
&SYSTEM
  ibrav = 0, nat = 8, ntyp = 3
/
ATOMIC_SPECIES
Co 58.93 Co.upf
Re 186.21 Re.upf
Pb 207.20 Pb.upf
CELL_PARAMETERS angstrom
2.960 0.000 0.000
0.000 4.465 0.000
0.000 0.000 9.017
ATOMIC_POSITIONS angstrom
Co 0.000 0.000 0.000
Co 0.000 2.232 2.493
Co 1.480 0.000 7.002
Co 1.480 2.232 4.509
Re 0.000 2.232 6.678
Re 1.480 0.000 2.169
Pb 0.000 0.000 4.679
Pb 1.480 2.232 0.170
```

Output
calculated formation energy: 0.71 eV per atom
V: 14.90 Å³ per atom

---

2.
The following is a DFT calculation (GGA-PBE) of an optimized crystal structure of Co2RePb. Values from VASP.

The structure in Quantum ESPRESSO input format:
```
&SYSTEM
  ibrav = 0, nat = 4, ntyp = 3
/
ATOMIC_SPECIES
Co 58.93 Co.upf
Re 186.21 Re.upf
Pb 207.20 Pb.upf
CELL_PARAMETERS angstrom
4.298 0.000 0.000
0.000 4.298 0.000
0.000 0.000 3.239
ATOMIC_POSITIONS angstrom
Co 0.000 2.149 0.000
Co 2.149 0.000 0.000
Re 0.000 0.000 1.620
Pb 2.149 2.149 1.620
```

Output
calculated formation energy: 0.67 eV per atom
V: 14.96 Å³ per atom

---

3.
The following is a DFT calculation (GGA-PBE) of an optimized crystal structure of Co2RePb. Values from VASP.

The structure in Quantum ESPRESSO input format:
```
&SYSTEM
  ibrav = 0, nat = 12, ntyp = 3
/
ATOMIC_SPECIES
Co 58.93 Co.upf
Re 186.21 Re.upf
Pb 207.20 Pb.upf
CELL_PARAMETERS angstrom
2.941 0.000 0.000
-1.471 2.547 0.000
0.000 0.000 25.598
ATOMIC_POSITIONS angstrom
Co 0.000 0.000 6.142
Co 0.000 0.000 19.455
Co 0.000 1.698 10.923
Co 0.000 1.698 23.208
Co 1.471 0.849 2.390
Co 1.471 0.849 14.675
Re 0.000 0.000 12.799
Re 0.000 1.698 4.266
Re 1.471 0.849 21.331
Pb 0.000 0.000 0.000
Pb 0.000 1.698 17.065
Pb 1.471 0.849 8.533
```

Output
calculated formation energy: 0.65 eV per atom
V: 15.98 Å³ per atom

---

4.
The following is a DFT calculation (GGA-PBE) of an optimized crystal structure of Co2RePb. Values from VASP.

The structure in Quantum ESPRESSO input format:
```
&SYSTEM
  ibrav = 0, nat = 12, ntyp = 3
/
ATOMIC_SPECIES
Co 58.93 Co.upf
Re 186.21 Re.upf
Pb 207.20 Pb.upf
CELL_PARAMETERS angstrom
2.903 0.000 0.000
-1.451 2.514 0.000
0.000 0.000 26.460
ATOMIC_POSITIONS angstrom
Co 0.000 0.000 0.000
Co 0.000 0.000 7.029
Co 0.000 1.676 17.640
Co 0.000 1.676 24.669
Co 1.451 0.838 8.820
Co 1.451 0.838 15.849
Re 0.000 0.000 13.918
Re 0.000 1.676 5.098
Re 1.451 0.838 22.738
Pb 0.000 0.000 20.111
Pb 0.000 1.676 11.291
Pb 1.451 0.838 2.471
```

Output
calculated formation energy: 0.78 eV per atom
V: 16.09 Å³ per atom

---

5.
The following is a DFT calculation (GGA-PBE) of an optimized crystal structure of Co2RePb. Values from VASP.

The structure in Quantum ESPRESSO input format:
```
&SYSTEM
  ibrav = 0, nat = 8, ntyp = 3
/
ATOMIC_SPECIES
Co 58.93 Co.upf
Re 186.21 Re.upf
Pb 207.20 Pb.upf
CELL_PARAMETERS angstrom
3.817 0.000 0.000
0.000 3.817 0.000
0.000 0.000 8.068
ATOMIC_POSITIONS angstrom
Co 0.000 0.000 0.000
Co 0.000 1.909 2.017
Co 1.909 0.000 6.051
Co 1.909 1.909 4.034
Re 0.000 0.000 4.034
Re 1.909 1.909 0.000
Pb 0.000 1.909 6.051
Pb 1.909 0.000 2.017
```

Output
calculated formation energy: 0.72 eV per atom
V: 14.70 Å³ per atom

---

6.
The following is a DFT calculation (GGA-PBE) of an optimized crystal structure of Co2RePb. Values from VASP.

The structure in Quantum ESPRESSO input format:
```
&SYSTEM
  ibrav = 0, nat = 4, ntyp = 3
/
ATOMIC_SPECIES
Co 58.93 Co.upf
Re 186.21 Re.upf
Pb 207.20 Pb.upf
CELL_PARAMETERS angstrom
2.852 0.000 0.000
0.000 3.478 0.000
0.000 0.000 6.193
ATOMIC_POSITIONS angstrom
Co 0.000 0.000 0.000
Co 1.426 1.739 1.280
Re 1.426 1.739 5.070
Pb 0.000 0.000 2.934
```

Output
calculated formation energy: 0.63 eV per atom
V: 15.36 Å³ per atom

---

7.
The following is a DFT calculation (GGA-PBE) of an optimized crystal structure of Co2RePb. Values from VASP.

The structure in Quantum ESPRESSO input format:
```
&SYSTEM
  ibrav = 0, nat = 8, ntyp = 3
/
ATOMIC_SPECIES
Co 58.93 Co.upf
Re 186.21 Re.upf
Pb 207.20 Pb.upf
CELL_PARAMETERS angstrom
4.096 0.000 0.000
0.000 4.096 0.000
0.000 0.000 7.007
ATOMIC_POSITIONS angstrom
Co 0.000 2.048 1.752
Co 0.000 2.048 5.256
Co 2.048 0.000 1.752
Co 2.048 0.000 5.256
Re 0.000 0.000 0.000
Re 2.048 2.048 3.504
Pb 0.000 0.000 3.504
Pb 2.048 2.048 0.000
```

Output
calculated formation energy: 0.67 eV per atom
V: 14.70 Å³ per atom

---

8.
The following is a DFT calculation (GGA-PBE) of an optimized crystal structure of Co2RePb. Values from VASP.

The structure in Quantum ESPRESSO input format:
```
&SYSTEM
  ibrav = 0, nat = 16, ntyp = 3
/
ATOMIC_SPECIES
Co 58.93 Co.upf
Re 186.21 Re.upf
Pb 207.20 Pb.upf
CELL_PARAMETERS angstrom
4.220 0.000 0.000
0.000 4.220 0.000
0.000 0.000 15.776
ATOMIC_POSITIONS angstrom
Co 0.711 1.055 1.972
Co 1.055 2.820 5.916
Co 1.055 3.509 13.804
Co 1.399 1.055 9.860
Co 2.820 3.165 9.860
Co 3.165 0.711 13.804
Co 3.165 1.399 5.916
Co 3.509 3.165 1.972
Re 0.000 0.000 0.000
Re 0.000 2.110 3.944
Re 2.110 0.000 11.832
Re 2.110 2.110 7.888
Pb 0.000 0.000 7.888
Pb 0.000 2.110 11.832
Pb 2.110 0.000 3.944
Pb 2.110 2.110 0.000
```

Output
calculated formation energy: 1.02 eV per atom
V: 17.56 Å³ per atom

---

9.
The following is a DFT calculation (GGA-PBE) of an optimized crystal structure of Zr2CoRePb. Values from VASP.

The structure in Quantum ESPRESSO input format:
```
&SYSTEM
  ibrav = 0, nat = 5, ntyp = 4
/
ATOMIC_SPECIES
Zr 91.22 Zr.upf
Co 58.93 Co.upf
Re 186.21 Re.upf
Pb 207.20 Pb.upf
CELL_PARAMETERS angstrom
5.094 0.000 0.000
0.000 5.094 0.000
0.000 0.000 4.516
ATOMIC_POSITIONS angstrom
Zr 0.000 2.547 0.000
Zr 2.547 0.000 0.000
Co 0.000 0.000 2.258
Re 0.000 0.000 0.000
Pb 2.547 2.547 2.258
```

Output
calculated formation energy: 0.65 eV per atom
V: 23.44 Å³ per atom

---

10.
The following is a DFT calculation (GGA-PBE) of an optimized crystal structure of Co4RhPb. Values from VASP.

The structure in Quantum ESPRESSO input format:
```
&SYSTEM
  ibrav = 0, nat = 6, ntyp = 3
/
ATOMIC_SPECIES
Co 58.93 Co.upf
Rh 102.91 Rh.upf
Pb 207.20 Pb.upf
CELL_PARAMETERS angstrom
0.000 3.441 3.441
3.441 0.000 3.441
3.441 3.441 0.000
ATOMIC_POSITIONS angstrom
Co 2.585 2.585 2.585
Co 4.296 4.296 2.585
Co 4.296 2.585 4.296
Co 2.585 4.296 4.296
Rh 5.161 5.161 5.161
Pb 0.000 0.000 0.000
```

Output
calculated formation energy: 0.28 eV per atom
V: 13.58 Å³ per atom

---

11.
The following is a DFT calculation (GGA-PBE) of an optimized crystal structure of Co2RhPb. Values from VASP.

The structure in Quantum ESPRESSO input format:
```
&SYSTEM
  ibrav = 0, nat = 4, ntyp = 3
/
ATOMIC_SPECIES
Co 58.93 Co.upf
Rh 102.91 Rh.upf
Pb 207.20 Pb.upf
CELL_PARAMETERS angstrom
3.104 0.000 0.000
0.000 3.104 0.000
0.000 0.000 6.452
ATOMIC_POSITIONS angstrom
Co 0.000 0.000 0.000
Co 1.552 1.552 1.081
Rh 1.552 1.552 4.946
Pb 0.000 0.000 3.033
```

Output
calculated formation energy: 0.33 eV per atom
V: 15.54 Å³ per atom

---

12.
The following is a DFT calculation (GGA-PBE) of an optimized crystal structure of Co2RhPb. Values from VASP.

The structure in Quantum ESPRESSO input format:
```
&SYSTEM
  ibrav = 0, nat = 8, ntyp = 3
/
ATOMIC_SPECIES
Co 58.93 Co.upf
Rh 102.91 Rh.upf
Pb 207.20 Pb.upf
CELL_PARAMETERS angstrom
3.958 0.000 0.000
0.000 3.958 0.000
0.000 0.000 7.525
ATOMIC_POSITIONS angstrom
Co 0.000 1.979 1.881
Co 0.000 1.979 5.644
Co 1.979 0.000 1.881
Co 1.979 0.000 5.644
Rh 0.000 0.000 0.000
Rh 1.979 1.979 3.762
Pb 0.000 0.000 3.762
Pb 1.979 1.979 0.000
```

Output
calculated formation energy: 0.34 eV per atom
V: 14.74 Å³ per atom

---

13.
The following is a DFT calculation (GGA-PBE) of an optimized crystal structure of CoRh2Pb. Values from VASP.

The structure in Quantum ESPRESSO input format:
```
&SYSTEM
  ibrav = 0, nat = 16, ntyp = 3
/
ATOMIC_SPECIES
Co 58.93 Co.upf
Rh 102.91 Rh.upf
Pb 207.20 Pb.upf
CELL_PARAMETERS angstrom
3.953 0.000 0.000
0.000 3.953 0.000
0.000 0.000 17.927
ATOMIC_POSITIONS angstrom
Co 0.000 0.000 0.000
Co 0.000 1.976 4.482
Co 1.976 0.000 13.445
Co 1.976 1.976 8.964
Rh 0.815 0.988 2.241
Rh 0.988 2.791 6.723
Rh 0.988 3.138 15.686
Rh 1.162 0.988 11.204
Rh 2.791 2.965 11.204
Rh 2.965 0.815 15.686
Rh 2.965 1.162 6.723
Rh 3.138 2.965 2.241
Pb 0.000 0.000 8.964
Pb 0.000 1.976 13.445
Pb 1.976 0.000 4.482
Pb 1.976 1.976 0.000
```

Output
calculated formation energy: 0.49 eV per atom
V: 17.51 Å³ per atom

---

14.
The following is a DFT calculation (GGA-PBE) of an optimized crystal structure of CoRh2Pb2. Values from VASP.

The structure in Quantum ESPRESSO input format:
```
&SYSTEM
  ibrav = 0, nat = 10, ntyp = 3
/
ATOMIC_SPECIES
Co 58.93 Co.upf
Rh 102.91 Rh.upf
Pb 207.20 Pb.upf
CELL_PARAMETERS angstrom
7.681 0.000 0.000
0.000 7.681 0.000
0.000 0.000 3.187
ATOMIC_POSITIONS angstrom
Co 0.000 0.000 0.000
Co 3.841 3.841 0.000
Rh 1.060 2.781 1.593
Rh 2.781 6.621 1.593
Rh 4.901 1.060 1.593
Rh 6.621 4.901 1.593
Pb 1.241 5.081 0.000
Pb 2.600 1.241 0.000
Pb 5.081 6.440 0.000
Pb 6.440 2.600 0.000
```

Output
E above lowest polymorph: 156 meV/atom
calculated formation energy: 0.43 eV per atom
V: 18.80 Å³ per atom

---

15.
The following is a DFT calculation (GGA-PBE) of an optimized crystal structure of CoRhPb3. Values from VASP.

The structure in Quantum ESPRESSO input format:
```
&SYSTEM
  ibrav = 0, nat = 5, ntyp = 3
/
ATOMIC_SPECIES
Co 58.93 Co.upf
Rh 102.91 Rh.upf
Pb 207.20 Pb.upf
CELL_PARAMETERS angstrom
4.961 0.000 0.000
0.000 4.961 0.000
0.000 0.000 4.961
ATOMIC_POSITIONS angstrom
Co 0.000 0.000 0.000
Rh 2.480 2.480 2.480
Pb 0.000 0.000 2.480
Pb 0.000 2.480 0.000
Pb 2.480 0.000 0.000
```

Output
E above lowest polymorph: 0 meV/atom
calculated formation energy: 0.59 eV per atom
V: 24.42 Å³ per atom